4
Lattice="-2.453 2.453 5.766 2.453 -2.453 5.766 2.453 2.453 -5.766" Properties=species:S:1:pos:R:3 comment="Ba2YAu (GGA-PBE, relaxed)" e_above_lowest_polymorph_ev_per_fu=1.50 magnetic_moment_mub_per_cell=0.00 sg="No. 139" pbc="T T T"
Ba 2.453 0.000 2.883
Ba 0.000 2.453 2.883
Y 0.000 0.000 0.000
Au 0.000 0.000 5.766